# 1
Below is a geometry-optimized AcTbNi2P2 structure, with properties calculated at the PBE level.

```
6
Lattice="-2.647 2.862 -0.856 -0.539 -3.700 -1.398 -4.260 -1.925 6.737" Properties=species:S:1:pos:R:3 pbc="T T T"
Ni -4.373 -2.927 3.734
Ni -3.074 0.165 0.750
P -2.406 -2.039 0.625
P -5.040 -0.724 3.859
Tb -2.130 -0.963 3.369
Ac 0.000 0.000 0.000
```

## Properties
DFT total energy: -37.92 eV/cell
Fermi-level density of states: 2.79 states/eV/cell
Total magnetic moment: 0.0 μB/f.u.



# 2
Below is a geometry-optimized Ac6Ni2Te3P structure, with properties calculated at the PBE level.

```
12
Lattice="7.720 0.003 -0.007 -3.855 6.689 -0.007 -1.296 -2.245 7.874" Properties=species:S:1:pos:R:3 pbc="T T T"
Ac 3.883 2.195 6.176
P 0.000 0.000 0.000
Ac -0.039 4.460 6.176
Te 1.284 2.224 3.930
Ac 2.553 4.420 1.669
Ac 2.608 -0.013 1.684
Ac 0.016 0.027 6.190
Te 5.186 -0.030 3.930
Te -2.618 4.477 3.930
Ni 3.871 2.226 -0.007
Ni -0.006 4.466 -0.007
Ac -1.315 2.252 1.684
```

## Properties
Fermi-level density of states: 8.94 states/eV/cell
Total magnetic moment: 0.0 μB/f.u.
Raw formation energy: -100.1 kJ per mole of atoms



# 3
Below is a geometry-optimized Ac2TmNi12P3 structure, with properties calculated at the PBE level.

```
18
Lattice="7.438 -0.131 -0.093 3.560 6.532 -0.093 3.560 2.072 6.195" Properties=species:S:1:pos:R:3 pbc="T T T"
P 3.719 -0.065 -0.046
Ni 9.231 7.384 5.238
Ni 3.578 4.094 0.773
Ac 5.759 3.352 2.378
Ni 6.837 6.517 1.934
Ni 6.837 3.979 5.511
Ni 7.721 1.957 4.076
Ni 5.327 1.089 0.773
Ni 10.980 4.380 5.238
Ac 8.798 5.121 3.632
Ni 7.721 4.494 0.499
Ni 3.578 2.083 3.608
Tm 0.000 0.000 0.000
P 1.780 3.266 -0.046
Ni 10.980 6.391 2.402
P 1.780 1.036 3.098
Ni 5.515 5.747 4.076
Ni 9.043 2.727 1.934
```

## Properties
DFT total energy: -99.89 eV/cell
Fermi-level density of states: 9.54 states/eV/cell
Total magnetic moment: 0.0 μB/f.u.